Compound: ZnCr2Tc
Source: Alexandria via LeMat-Bulk
Functional: PBE
Structure: optimized geometry

a b c (Å): 2.6600 2.6600 25.9539
angles (deg): 90.00 90.00 120.00
Space group R-3m (No. 166, hexagonal axes)
Unique sites:
1 Zn 0.0000 0.0000 0.0000
2 Cr 0.0000 0.0000 0.2481
3 Tc 0.0000 0.0000 0.5000

Summary:
energy relative to the elements = 0.2750 eV/atom
ρ = 8.4 g/cm3

***

Compound: LiReSb2Te
Source: Alexandria via LeMat-Bulk
Functional: PBE
Structure: optimized geometry

a b c (Å): 5.0666 5.0666 6.0535
angles (deg): 90.00 90.00 90.00
Space group P4/mmm (No. 123)
Unique sites:
1 Li 0.0000 0.0000 0.0000
2 Re 0.5000 0.5000 0.5000
3 Sb 0.0000 0.5000 0.5000
4 Te 0.5000 0.5000 0.0000

Summary:
energy relative to the elements, uncorrected = 0.492 eV per atom
energy above the most stable polymorph in this dataset = 0 meV per atom
ρ = 6.0 g/cm3

***

Compound: SbMo2Pt
Source: Alexandria via LeMat-Bulk
Functional: PBE
Structure: optimized geometry

a b c (Å): 9.2692 3.1975 4.8337
angles (deg): 90.00 104.16 90.00
Space group Cm (No. 8)
Unique sites:
1 Sb 0.0000 0.0000 0.0000
2 Mo 0.2634 0.5000 0.3144
3 Mo 0.4850 0.0000 0.4803
4 Pt 0.2440 0.0000 0.7754

Summary:
energy relative to the elements, uncorrected = 0.107 eV per atom
ρ = 12.2 g/cm3

***

Compound: NbBi2BCl
Source: Alexandria via LeMat-Bulk
Functional: PBE
Structure: optimized geometry

a b c (Å): 5.5990 5.5990 4.4778
angles (deg): 90.00 90.00 90.00
Space group P4/mmm (No. 123)
Unique sites:
1 Nb 0.0000 0.0000 0.0000
2 Bi 0.0000 0.5000 0.5000
3 B 0.5000 0.5000 0.0000
4 Cl 0.0000 0.0000 0.5000

Summary:
energy relative to the elements, uncorrected = 1.641 eV per atom
ρ = 6.6 g/cm3

***

Compound: CeNb2Fe
Source: Alexandria via LeMat-Bulk
Functional: PBE
Structure: optimized geometry

a b c (Å): 2.9300 2.9300 29.5281
angles (deg): 90.00 90.00 120.00
Space group R-3m (No. 166, hexagonal axes)
Unique sites:
1 Ce 0.0000 0.0000 0.0000
2 Nb 0.0000 0.0000 0.0974
3 Fe 0.0000 0.0000 0.5000

Summary:
energy relative to the elements = 0.4038 eV/atom
ρ = 8.7 g/cm3

***

Compound: LaTlCl4
Source: Alexandria via LeMat-Bulk
Functional: PBE
Structure: optimized geometry

a b c (Å): 8.5077 8.5077 8.5077
angles (deg): 90.00 90.00 90.00
Space group F-43m (No. 216)
Unique sites:
1 La 0.0000 0.0000 0.0000
2 Tl 0.2500 0.2500 0.7500
3 Cl 0.1252 0.1252 0.3748

Summary:
energy relative to the elements, uncorrected = -0.697 eV per atom
energy above the most stable polymorph in this dataset = 1254 meV per atom
ρ = 5.2 g/cm3

***

Compound: YEr2Cd
Source: Alexandria via LeMat-Bulk
Functional: PBE
Structure: optimized geometry

a b c (Å): 3.5535 3.5535 32.1863
angles (deg): 90.00 90.00 120.00
Space group R-3m (No. 166, hexagonal axes)
Unique sites:
1 Y 0.0000 0.0000 0.0000
2 Er 0.0000 0.0000 0.2443
3 Cd 0.0000 0.0000 0.5000

Summary:
energy relative to the elements = -0.0694 eV/atom
energy above the most stable polymorph in this dataset = 89 meV per atom
ρ = 7.6 g/cm3

***

Compound: BeReBr
Source: Alexandria via LeMat-Bulk
Functional: PBE
Structure: optimized geometry

a b c (Å): 2.9854 5.0624 12.4127
angles (deg): 90.00 90.00 90.00
Space group Fmm2 (No. 42)
Unique sites:
1 Be 0.0000 0.0000 0.0000
2 Re 0.0000 0.0000 0.6465
3 Br 0.0000 0.0000 0.3593

Summary:
energy relative to the elements, uncorrected = 0.915 eV per atom
energy above the most stable polymorph in this dataset = 203 meV per atom
ρ = 9.7 g/cm3

***

| no. | energy (eV/cell) |
| --- | --- |
| 1 | -89.36 |
| 2 | -23.29 |
| 3 | -62.80 |
| 4 | -18.15 |
| 5 | -98.76 |
| 6 | -75.45 |
| 7 | -50.35 |
| 8 | -60.41 |